Entry 1:
Entry from Alexandria: a relaxed LaB3I crystal (GGA-PBE).

Values from the calculation:
- Raw formation energy: 2.271 eV per atom
- Energy: -3.031 eV/atom
- Fermi-level density of states: 5.61 states/eV/cell

abc: 5.1566 5.1566 5.1566
angles: 90.00 90.00 90.00
Space group Pm-3m (No. 221)
Unique sites:
La: 0.0000 0.0000 0.0000
B: 0.0000 0.0000 0.5000
I: 0.5000 0.5000 0.5000


Entry 2:
Entry from Alexandria: a relaxed Mg2GaI6 crystal (GGA-PBE).

Values from the calculation:
- Raw formation energy: -0.744 eV per atom
- Energy: -2.468 eV/atom
- Fermi-level density of states: 17.55 states/eV/cell

abc: 16.0412 16.1609 7.5143
angles: 90.00 113.95 90.00
Space group C2/c (No. 15)
Unique sites:
Mg: 0.2216 0.0776 0.3680
Ga: 0.0000 0.2872 0.2500
I: 0.1049 0.3801 0.5902
I: 0.1117 0.1952 0.1131
I: 0.1869 0.0783 0.6985


Entry 3:
Entry from Alexandria: a relaxed CeB2PbO6 crystal (GGA-PBE).

Values from the calculation:
- Raw formation energy: -2.469 eV per atom
- Energy: -7.744 eV/atom

abc: 8.0067 10.2619 6.8782
angles: 90.00 107.20 90.00
Space group C2/c (No. 15)
Unique sites:
Ce: 0.0000 0.0848 0.2500
B: 0.2446 0.1374 0.7507
Pb: 0.0000 0.3869 0.7500
O: 0.0904 0.1073 0.5978
O: 0.1843 0.4634 0.1177
O: 0.1903 0.2380 0.2299


Entry 4:
Entry from Alexandria: a relaxed Mn2NiAu crystal (GGA-PBE).

Values from the calculation:
- Formation energy from the elements: 0.610 eV per atom
- Energy: -6.239 eV/atom
- Fermi-level density of states: 19.32 states/eV/cell

abc: 3.5460 3.5460 17.5214
angles: 90.00 90.00 90.00
Space group I-42d (No. 122)
Unique sites:
Mn: 0.1740 0.2500 0.1250
Ni: 0.0000 0.0000 0.0000
Au: 0.0000 0.0000 0.5000


Entry 5:
Entry from Alexandria: a relaxed NaCuAg2I4 crystal (GGA-PBE).

Values from the calculation:
- Raw formation energy: -0.462 eV per atom
- Energy: -2.627 eV/atom

abc: 9.4793 7.9836 7.6415
angles: 90.00 90.00 90.00
Space group Pmn2_1 (No. 31)
Unique sites:
Na: 0.0000 0.1635 0.0000
Cu: 0.0000 0.8238 0.5004
Ag: 0.2484 0.3306 0.5001
I: 0.0000 0.1419 0.4072
I: 0.0000 0.8052 0.8450
I: 0.2234 0.6691 0.3748


Entry 6:
Entry from Alexandria: a relaxed EuSn2F4 crystal (GGA-PBE).

Values from the calculation:
- Raw formation energy: -2.493 eV per atom
- Energy: -6.174 eV/atom
- Fermi-level density of states: 24.18 states/eV/cell

abc: 4.5147 4.5147 18.2114
angles: 90.00 90.00 90.00
Space group I4/mmm (No. 139)
Unique sites:
Eu: 0.0000 0.0000 0.0000
Sn: 0.0000 0.0000 0.2466
F: 0.0000 0.0000 0.1327
F: 0.0000 0.5000 0.0000


Entry 7:
Entry from Alexandria: a relaxed Tb2Er2TmMg5 crystal (GGA-PBE).

Values from the calculation:
- Formation energy from the elements: 0.075 eV per atom
- Energy: -3.008 eV/atom
- Fermi-level density of states: 14.19 states/eV/cell

abc: 10.5191 10.5191 5.0331
angles: 90.00 90.00 90.00
Space group P4/mbm (No. 127)
Unique sites:
Tb: 0.1779 0.3221 0.0000
Er: 0.1187 0.6187 0.0000
Tm: 0.0000 0.0000 0.0000
Mg: 0.0000 0.5000 0.5000
Mg: 0.0698 0.8025 0.5000


Entry 8:
Entry from Alexandria: a relaxed Ce2Zr3Ga4 crystal (GGA-PBE).

Values from the calculation:
- Formation energy from the elements: -0.370 eV per atom
- Energy: -5.884 eV/atom
- Fermi-level density of states: 56.20 states/eV/cell

abc: 6.3429 15.6256 8.2458
angles: 90.00 90.00 90.00
Space group Cmce (No. 64)
Unique sites:
Ce: 0.0000 0.1145 0.0872
Zr: 0.0000 0.0000 0.5000
Zr: 0.2500 0.2081 0.7500
Ga: 0.0000 0.1817 0.4478
Ga: 0.2500 0.0325 0.7500